1.
DFT (meta-GGA SCAN) results for a PBEsol-optimized structure of SrAs2Au.

The structure in POSCAR format:
```
SrAs2Au
1.0
4.9884 0.0000 0.0000
2.4942 4.3201 0.0000
2.4942 1.4400 4.0730
As Sr Au
2 1 1
Direct
0.7500 0.7500 0.7500 As
0.0000 0.0000 0.0000 As
0.2500 0.2500 0.2500 Sr
0.5000 0.5000 0.5000 Au
```

Summary:
N(E_F)	0.482	states/eV/atom
mass density	8.2	g/cm3
total magnetic moment	0.000	Bohr magnetons per cell
space group	F-43m (216)
formation energy from the elements	-0.2445	eV per atom

=====

2.
DFT (meta-GGA SCAN) results for a PBEsol-optimized structure of SrAs2Au.

The structure in POSCAR format:
```
SrAs2Au
1.0
-0.2636 -3.9432 -2.2255
2.2979 -3.6101 1.5026
-3.3976 -3.8952 2.6824
As Au Sr
2 1 1
Direct
0.2099 0.2099 0.3703 As
0.7901 0.7901 0.6297 As
0.5000 0.5000 0.5000 Au
0.0000 0.0000 0.0000 Sr
```

Summary:
N(E_F)	0.503	states/eV/atom
mass density	7.8	g/cm3
total magnetic moment	0.000	Bohr magnetons per cell
space group	R-3m (166)
formation energy from the elements	-0.5102	eV per atom

=====

3.
DFT (meta-GGA SCAN) results for a PBEsol-optimized structure of SrAs2Au.

The structure in POSCAR format:
```
SrAs2Au
1.0
4.7593 0.0000 0.0000
-2.3797 4.6779 0.0016
0.0000 -1.1207 4.4904
Sr As Au
1 2 1
Direct
0.0000 0.0000 0.5000 Sr
0.7376 0.4752 0.8663 As
0.2624 0.5248 0.1337 As
0.5000 0.0000 0.0000 Au
```

Summary:
N(E_F)	0.232	states/eV/atom
mass density	7.2	g/cm3
total magnetic moment	0.000	Bohr magnetons per cell
space group	C2/m (12)
formation energy from the elements	-0.6656	eV per atom

=====

4.
DFT (meta-GGA SCAN) results for a PBEsol-optimized structure of SrAsAu.

The structure in POSCAR format:
```
SrAsAu
1.0
-4.3275 -1.0318 0.1044
2.8794 -2.2210 2.5649
-1.1850 5.5948 6.1751
As Au Sr
2 2 2
Direct
0.3333 0.6667 0.7500 As
0.6667 0.3333 0.2500 As
0.3333 0.6667 0.2500 Au
0.6667 0.3333 0.7500 Au
0.0000 0.0000 0.0000 Sr
0.0000 0.0000 0.5000 Sr
```

Summary:
N(E_F)	0.038	states/eV/atom
mass density	8.3	g/cm3
total magnetic moment	0.000	Bohr magnetons per cell
space group	P6_3/mmc (194)
formation energy from the elements	-1.1334	eV per atom

=====

5.
DFT (meta-GGA SCAN) results for a PBEsol-optimized structure of Sr3AsAu.

The structure in POSCAR format:
```
Sr3AsAu
1.0
5.8121 0.0000 0.0000
0.0000 5.8121 0.0000
0.0000 0.0000 5.8121
Sr As Au
3 1 1
Direct
0.0000 0.0000 0.5000 Sr
0.0000 0.5000 0.0000 Sr
0.5000 0.0000 0.0000 Sr
0.0000 0.0000 0.0000 As
0.5000 0.5000 0.5000 Au
```

Summary:
N(E_F)	0.698	states/eV/atom
mass density	4.5	g/cm3
total magnetic moment	0.001	Bohr magnetons per cell
space group	Pm-3m (221)
formation energy from the elements	-0.5851	eV per atom

=====

6.
DFT (meta-GGA SCAN) results for a PBEsol-optimized structure of SrAsAu.

The structure in POSCAR format:
```
SrAsAu
1.0
-1.0400 -3.8180 1.7719
4.2517 -0.7427 0.8950
-2.5455 2.0621 2.9492
Au Sr As
1 1 1
Direct
0.8333 0.6667 0.3333 Au
0.3331 0.3333 0.6667 Sr
0.8335 0.0000 0.0000 As
```

Summary:
N(E_F)	0.196	states/eV/atom
mass density	8.2	g/cm3
total magnetic moment	0.000	Bohr magnetons per cell
space group	P-6m2 (187)
formation energy from the elements	-1.1146	eV per atom